(1)
Computed, not measured: crystalline Li8AlGe2 at its relaxed geometry at the GGA-PBE level of DFT.

Output
As for the space-group type: C2/m. For the formation energy, the calculation gives -218 meV per atom. As for the uncorrected energy: -2.790 eV/atom.

Cell: 4.5729 7.5895 6.9126 Å, 125.09 109.32 90.00°
With the nearest neighbours (Å) after each atom.
Atoms (fractional coordinates):
Li1 0.3209 0.1345 0.6418  3 Ge 2.65-2.83, 6 Li 2.70-2.87
Ge1 0.2320 0.7140 0.4641  9 Li 2.64-2.83, 1 Al 2.77
Li2 0.8612 0.8007 0.7224  3 Li 2.46-2.70, 2 Ge 2.67, 2 Al 2.73
Li3 0.0314 0.7187 0.0628  1 Ge 2.64, 6 Li 2.65-2.89
Al1 0.5000 0.0000 0.0000  6 Li 2.73-2.76, 2 Ge 2.77
Li4 0.6376 0.4549 0.2752  1 Li 2.46, 1 Ge 2.68, 1 Al 2.76
Li5 0.1388 0.1993 0.2776  3 Li 2.46-2.70, 2 Ge 2.67, 2 Al 2.73
Li6 0.3624 0.5451 0.7248  1 Li 2.46, 1 Ge 2.68, 1 Al 2.76
Li7 0.6791 0.8655 0.3582  3 Ge 2.65-2.83, 6 Li 2.70-2.87
Ge2 0.7680 0.2860 0.5359  9 Li 2.64-2.83, 1 Al 2.77
Li8 0.9686 0.2813 0.9372  1 Ge 2.64, 6 Li 2.65-2.89

***

(2)
Computed, not measured: crystalline LiAl2Ge at its relaxed geometry at the GGA-PBE level of DFT.

Output
As for the space-group type: P4/mmm. For the formation energy, the calculation gives -90 meV per atom. As for the uncorrected energy: -3.594 eV/atom.

Cell: 4.1058 3.9932 3.9932 Å, 90.00 90.00 90.00°
With the nearest neighbours (Å) after each atom.
Atoms (fractional coordinates):
Li1 0.5000 0.5000 0.5000  4 Ge 2.82, 8 Al 2.86
Al1 0.0000 0.0000 0.5000  4 Al 2.82, 4 Ge 2.86, 4 Li 2.86
Ge1 0.5000 0.0000 0.0000  4 Li 2.82, 8 Al 2.86
Al2 0.0000 0.5000 0.0000  4 Al 2.82, 4 Ge 2.86, 4 Li 2.86

***

(3)
Computed, not measured: crystalline Li3AlGe2 at its relaxed geometry at the GGA-PBE level of DFT.

Output
As for the space-group type: Ibam. For the formation energy, the calculation gives -220 meV per atom. As for the uncorrected energy: -3.339 eV/atom.

Cell: 5.4647 5.4497 8.0883 Å, 109.69 109.74 90.00°
With the nearest neighbours (Å) after each atom.
Atoms (fractional coordinates):
Ge1 0.3704 0.1276 0.2551  2 Al 2.63, 7 Li 2.67-2.85
Ge2 0.8847 0.6276 0.2551  2 Al 2.63, 7 Li 2.67-2.85
Li1 0.9217 0.1814 0.3629  5 Ge 2.72-2.85
Li2 0.5000 0.7500 0.0000  4 Ge 2.67, 2 Li 2.72, 2 Al 2.73
Li3 0.4412 0.6814 0.3629  5 Ge 2.72-2.85
Al1 0.0000 0.2500 0.0000  4 Ge 2.63, 2 Al 2.72, 2 Li 2.73
Li4 0.0783 0.8186 0.6371  5 Ge 2.72-2.85
Ge3 0.6296 0.8724 0.7449  2 Al 2.63, 7 Li 2.67-2.85
Li5 0.5588 0.3186 0.6371  5 Ge 2.72-2.85
Li6 0.5000 0.2500 0.0000  4 Ge 2.67, 2 Li 2.72, 2 Al 2.73
Al2 0.0000 0.7500 0.0000  4 Ge 2.63, 2 Al 2.72, 2 Li 2.73
Ge4 0.1153 0.3724 0.7449  2 Al 2.63, 7 Li 2.67-2.85

***

(4)
Computed, not measured: crystalline Li3AlGe3 at its relaxed geometry at the GGA-PBE level of DFT.

Output
As for the space-group type: C2/m. For the formation energy, the calculation gives -117 meV per atom. As for the uncorrected energy: -3.451 eV/atom.

Cell: 6.9090 6.9090 6.2652 Å, 92.50 92.50 113.36°
With the nearest neighbours (Å) after each atom.
Atoms (fractional coordinates):
Ge1 0.5501 0.1602 0.3686  2 Li 2.54-2.79, 1 Al 2.55, 2 Ge 2.64-2.70
Li1 0.7746 0.2254 0.0000  4 Ge 2.79-2.89
Li2 0.6083 0.6083 0.3328  1 Ge 2.56, 1 Li 2.76, 1 Al 2.85
Ge2 0.1602 0.5501 0.3686  2 Li 2.54-2.79, 1 Al 2.55, 2 Ge 2.64-2.70
Ge3 0.1015 0.1015 0.8489  2 Al 2.53-2.57, 1 Ge 2.53, 3 Li 2.56-2.63
Al1 0.2352 0.2352 0.2322  4 Ge 2.53-2.57
Li3 0.1169 0.8831 0.5000  4 Ge 2.54-2.63, 1 Li 2.70
Ge4 0.8985 0.8985 0.1511  2 Al 2.53-2.57, 1 Ge 2.53, 3 Li 2.56-2.63
Ge5 0.8398 0.4499 0.6314  2 Li 2.54-2.79, 1 Al 2.55, 2 Ge 2.64-2.70
Li4 0.2254 0.7746 0.0000  4 Ge 2.79-2.89
Li5 0.8831 0.1169 0.5000  4 Ge 2.54-2.63, 1 Li 2.70
Al2 0.7648 0.7648 0.7678  4 Ge 2.53-2.57
Li6 0.3917 0.3917 0.6672  1 Ge 2.56, 1 Li 2.76, 1 Al 2.85
Ge6 0.4499 0.8398 0.6314  2 Li 2.54-2.79, 1 Al 2.55, 2 Ge 2.64-2.70

***

(5)
Computed, not measured: crystalline Li2Al2Ge at its relaxed geometry at the GGA-PBE level of DFT.

Output
As for the space-group type: P4/mbm. For the polymorph energy (0 for the lowest one), the calculation gives 0.000 eV/atom. For the formation energy, the calculation gives 11 meV per atom. As for the uncorrected energy: -3.175 eV/atom.

Cell: 7.6233 7.6233 2.9273 Å, 90.00 90.00 90.00°
With the nearest neighbours (Å) after each atom.
Atoms (fractional coordinates):
Li1 0.3252 0.1748 0.5000  6 Al 2.61-2.74, 2 Li 2.93
Li2 0.6748 0.8252 0.5000  6 Al 2.61-2.74, 2 Li 2.93
Al1 0.8757 0.6243 0.0000  6 Li 2.61-2.74, 3 Al 2.68-2.93
Ge1 0.0000 0.0000 0.0000  2 Ge 2.93, 4 Al 3.02, 8 Li 3.17
Al2 0.6243 0.1243 0.0000  6 Li 2.61-2.74, 3 Al 2.68-2.93
Al3 0.3757 0.8757 0.0000  6 Li 2.61-2.74, 3 Al 2.68-2.93
Ge2 0.5000 0.5000 0.0000  2 Ge 2.93, 4 Al 3.02, 8 Li 3.17
Al4 0.1243 0.3757 0.0000  6 Li 2.61-2.74, 3 Al 2.68-2.93
Li3 0.8252 0.3252 0.5000  6 Al 2.61-2.74, 2 Li 2.93
Li4 0.1748 0.6748 0.5000  6 Al 2.61-2.74, 2 Li 2.93

***

(6)
Computed, not measured: crystalline Li2AlGe at its relaxed geometry at the GGA-PBE level of DFT.

Output
As for the space-group type: R3m. For the formation energy, the calculation gives -111 meV per atom. As for the uncorrected energy: -3.158 eV/atom.

Cell: 2.9099 2.9099 9.1824 Å, 80.88 80.88 60.00°
With the nearest neighbours (Å) after each atom.
Atoms (fractional coordinates):
Al1 0.5006 0.5006 0.4983  6 Li 2.86-2.89, 6 Al 2.91
Li1 0.0806 0.0806 0.7582  3 Ge 2.76, 3 Al 2.89, 6 Li 2.91
Li2 0.2526 0.2526 0.2423  3 Ge 2.75, 3 Al 2.86, 6 Li 2.91
Ge1 0.6663 0.6663 0.0012  6 Li 2.75-2.76, 6 Ge 2.91

***

(7)
Computed, not measured: crystalline LiAlGe3 at its relaxed geometry at the GGA-PBE level of DFT.

Output
As for the space-group type: Pm-3m. For the polymorph energy (0 for the lowest one), the calculation gives 0.000 eV/atom. For the formation energy, the calculation gives 419 meV per atom. As for the uncorrected energy: -3.482 eV/atom.

Cell: 4.9231 4.9231 4.9231 Å, 90.00 90.00 90.00°
With the nearest neighbours (Å) after each atom.
Atoms (fractional coordinates):
Ge1 0.5000 0.0000 0.0000  2 Al 2.46
Ge2 0.0000 0.5000 0.0000  2 Al 2.46
Li1 0.5000 0.5000 0.5000  12 Ge 3.48
Al1 0.0000 0.0000 0.0000  6 Ge 2.46
Ge3 0.0000 0.0000 0.5000  2 Al 2.46

***

(8)
Computed, not measured: crystalline LiAlGe3 at its relaxed geometry at the GGA-PBE level of DFT.

Output
As for the space-group type: Pm-3m. For the polymorph energy (0 for the lowest one), the calculation gives 0.066 eV/atom. For the formation energy, the calculation gives 485 meV per atom. As for the uncorrected energy: -3.416 eV/atom.

Cell: 4.6119 4.6119 4.6119 Å, 90.00 90.00 90.00°
With the nearest neighbours (Å) after each atom.
Atoms (fractional coordinates):
Li1 0.0000 0.0000 0.0000  6 Ge 2.31
Ge1 0.0000 0.5000 0.0000  2 Li 2.31
Al1 0.5000 0.5000 0.5000  12 Ge 3.26
Ge2 0.5000 0.0000 0.0000  2 Li 2.31
Ge3 0.0000 0.0000 0.5000  2 Li 2.31

***

(9)
Computed, not measured: crystalline LiAl2Ge at its relaxed geometry at the GGA-PBE level of DFT.

Output
As for the space-group type: R-3m. For the formation energy, the calculation gives 182 meV per atom. As for the uncorrected energy: -3.322 eV/atom.

Cell: 2.9346 2.9346 10.1874 Å, 81.72 81.72 60.00°
With the nearest neighbours (Å) after each atom.
Atoms (fractional coordinates):
Ge1 0.5000 0.5000 0.5000  6 Al 2.88, 6 Ge 2.93
Li1 0.0000 0.0000 0.0000  2 Al 2.69, 6 Li 2.93
Al1 0.0893 0.0893 0.7322  1 Li 2.69, 3 Ge 2.88, 6 Al 2.93
Al2 0.9107 0.9107 0.2678  1 Li 2.69, 3 Ge 2.88, 6 Al 2.93

***

(10)
Computed, not measured: crystalline Li8AlGe6 at its relaxed geometry at the GGA-PBE level of DFT.

Output
As for the space-group type: R-3. For the formation energy, the calculation gives -159 meV per atom. As for the uncorrected energy: -3.277 eV/atom.

Cell: 7.8464 7.8464 6.9386 Å, 55.57 55.57 60.00°
With the nearest neighbours (Å) after each atom.
Atoms (fractional coordinates):
Li1 0.3794 0.3794 0.8618  6 Ge 2.77-2.79
Li2 0.8701 0.1621 0.6068  4 Ge 2.69-2.85, 1 Al 2.83, 1 Li 2.91
Li3 0.6206 0.6206 0.1382  6 Ge 2.77-2.79
Ge1 0.7168 0.3847 0.8914  6 Li 2.69-2.85, 1 Al 2.69, 3 Ge 2.86-2.87
Li4 0.3610 0.8701 0.6068  4 Ge 2.69-2.85, 1 Al 2.83, 1 Li 2.91
Ge2 0.9929 0.2832 0.1086  6 Li 2.69-2.85, 1 Al 2.69, 3 Ge 2.86-2.87
Al1 0.0000 0.0000 0.0000  6 Ge 2.69, 6 Li 2.83
Li5 0.1299 0.8379 0.3932  4 Ge 2.69-2.85, 1 Al 2.83, 1 Li 2.91
Ge3 0.2832 0.6153 0.1086  6 Li 2.69-2.85, 1 Al 2.69, 3 Ge 2.86-2.87
Ge4 0.3847 0.0071 0.8914  6 Li 2.69-2.85, 1 Al 2.69, 3 Ge 2.86-2.87
Ge5 0.6153 0.9929 0.1086  6 Li 2.69-2.85, 1 Al 2.69, 3 Ge 2.86-2.87
Li6 0.8379 0.6390 0.3932  4 Ge 2.69-2.85, 1 Al 2.83, 1 Li 2.91
Ge6 0.0071 0.7168 0.8914  6 Li 2.69-2.85, 1 Al 2.69, 3 Ge 2.86-2.87
Li7 0.6390 0.1299 0.3932  4 Ge 2.69-2.85, 1 Al 2.83, 1 Li 2.91
Li8 0.1621 0.3610 0.6068  4 Ge 2.69-2.85, 1 Al 2.83, 1 Li 2.91

***

(11)
Computed, not measured: crystalline LiAl2Ge at its relaxed geometry at the GGA-PBE level of DFT.

Output
As for the space-group type: Fm-3m. For the formation energy, the calculation gives 78 meV per atom. As for the uncorrected energy: -3.427 eV/atom.

Cell: 4.6018 4.6018 4.6018 Å, 60.00 60.00 60.00°
With the nearest neighbours (Å) after each atom.
Atoms (fractional coordinates):
Ge1 0.5000 0.5000 0.5000  8 Al 2.82
Al1 0.7500 0.7500 0.7500  4 Ge 2.82, 4 Li 2.82
Al2 0.2500 0.2500 0.2500  4 Li 2.82, 4 Ge 2.82
Li1 0.0000 0.0000 0.0000  8 Al 2.82

***

(12)
Computed, not measured: crystalline LiMgAlGe at its relaxed geometry at the GGA-PBE level of DFT.

Output
As for the space-group type: F-43m. For the formation energy, the calculation gives -77 meV per atom. As for the uncorrected energy: -3.044 eV/atom.

Cell: 4.6885 4.6885 4.6885 Å, 60.00 60.00 60.00°
With the nearest neighbours (Å) after each atom.
Atoms (fractional coordinates):
Al1 0.7500 0.7500 0.7500  4 Li 2.87, 4 Mg 2.87
Li1 0.5000 0.5000 0.5000  4 Ge 2.87, 4 Al 2.87
Mg1 0.0000 0.0000 0.0000  4 Al 2.87, 4 Ge 2.87
Ge1 0.2500 0.2500 0.2500  4 Mg 2.87, 4 Li 2.87

***

What did the twelfth record say?
Computed, not measured: crystalline LiMgAlGe at its relaxed geometry at the GGA-PBE level of DFT.

Output
As for the space-group type: F-43m. For the formation energy, the calculation gives -77 meV per atom. As for the uncorrected energy: -3.044 eV/atom.

Cell: 4.6885 4.6885 4.6885 Å, 60.00 60.00 60.00°
With the nearest neighbours (Å) after each atom.
Atoms (fractional coordinates):
Al1 0.7500 0.7500 0.7500  4 Li 2.87, 4 Mg 2.87
Li1 0.5000 0.5000 0.5000  4 Ge 2.87, 4 Al 2.87
Mg1 0.0000 0.0000 0.0000  4 Al 2.87, 4 Ge 2.87
Ge1 0.2500 0.2500 0.2500  4 Mg 2.87, 4 Li 2.87

***

- uncorrected energy of number 6 (Li2AlGe)?
  -3.158 eV/atom